A plane-wave DFT calculation with PBE-GGA was carried out for a relaxed structure of Y2Tl2Cl.

```
data_Y2Tl2Cl
_chemical_formula_sum 'Y4 Tl4 Cl2'
_symmetry_space_group_name_H-M 'P 4/m b m'
_symmetry_Int_Tables_number 127
_symmetry_space_group_name_Hall '-P 4 2ab'
_cell_length_a 7.4573
_cell_length_b 7.4573
_cell_length_c 4.9412
_cell_angle_alpha 90.00
_cell_angle_beta 90.00
_cell_angle_gamma 90.00
loop_
_atom_site_label
_atom_site_fract_x
_atom_site_fract_y
_atom_site_fract_z
Y1 0.1640 0.3360 0.0000
Tl1 0.1464 0.6464 0.5000
Cl1 0.0000 0.0000 0.0000
```

The uncorrected formation energy is -747 meV/atom. As for the crystal system: tetragonal. Its density of states at the Fermi level is 7.1 states/eV/cell.

***

A plane-wave DFT calculation with PBE-GGA was carried out for a relaxed structure of LaPmTeO2.

```
data_LaPmTeO2
_chemical_formula_sum 'La2 Pm2 Te2 O4'
_symmetry_space_group_name_H-M 'I 4 m m'
_symmetry_Int_Tables_number 107
_symmetry_space_group_name_Hall 'I 4 -2'
_cell_length_a 4.0884
_cell_length_b 4.0884
_cell_length_c 13.0451
_cell_angle_alpha 90.00
_cell_angle_beta 90.00
_cell_angle_gamma 90.00
loop_
_atom_site_label
_atom_site_fract_x
_atom_site_fract_y
_atom_site_fract_z
La1 0.0000 0.0000 0.0000
Pm1 0.0000 0.0000 0.6801
Te1 0.0000 0.0000 0.3372
O1 0.0000 0.5000 0.0927
```

The uncorrected formation energy is -2964 meV/atom. As for the crystal system: tetragonal. Its density of states at the Fermi level is 0.0 states/eV/cell.

***

Please write out number 2 again, unchanged.
A plane-wave DFT calculation with PBE-GGA was carried out for a relaxed structure of LaPmTeO2.

```
data_LaPmTeO2
_chemical_formula_sum 'La2 Pm2 Te2 O4'
_symmetry_space_group_name_H-M 'I 4 m m'
_symmetry_Int_Tables_number 107
_symmetry_space_group_name_Hall 'I 4 -2'
_cell_length_a 4.0884
_cell_length_b 4.0884
_cell_length_c 13.0451
_cell_angle_alpha 90.00
_cell_angle_beta 90.00
_cell_angle_gamma 90.00
loop_
_atom_site_label
_atom_site_fract_x
_atom_site_fract_y
_atom_site_fract_z
La1 0.0000 0.0000 0.0000
Pm1 0.0000 0.0000 0.6801
Te1 0.0000 0.0000 0.3372
O1 0.0000 0.5000 0.0927
```

The uncorrected formation energy is -2964 meV/atom. As for the crystal system: tetragonal. Its density of states at the Fermi level is 0.0 states/eV/cell.

***

> The highest density of states at the Fermi level belongs to which entry?

Y2Tl2Cl

***

Please write out number 2 again, unchanged.
A plane-wave DFT calculation with PBE-GGA was carried out for a relaxed structure of LaPmTeO2.

```
data_LaPmTeO2
_chemical_formula_sum 'La2 Pm2 Te2 O4'
_symmetry_space_group_name_H-M 'I 4 m m'
_symmetry_Int_Tables_number 107
_symmetry_space_group_name_Hall 'I 4 -2'
_cell_length_a 4.0884
_cell_length_b 4.0884
_cell_length_c 13.0451
_cell_angle_alpha 90.00
_cell_angle_beta 90.00
_cell_angle_gamma 90.00
loop_
_atom_site_label
_atom_site_fract_x
_atom_site_fract_y
_atom_site_fract_z
La1 0.0000 0.0000 0.0000
Pm1 0.0000 0.0000 0.6801
Te1 0.0000 0.0000 0.3372
O1 0.0000 0.5000 0.0927
```

The uncorrected formation energy is -2964 meV/atom. As for the crystal system: tetragonal. Its density of states at the Fermi level is 0.0 states/eV/cell.